No. 1
Material: Ru2C
Method: DFT, PBE-GGA
State: relaxed

Cell lengths 2.7981, 4.3973, 6.3370 Å; angles 90.00, 90.00, 90.00 degrees
With the nearest neighbours (Å) after each atom.
Element x y z (fractional)
Ru  0.0000  0.0000  0.2071  1 C 1.86
Ru  0.0000  0.0000  0.7929  1 C 1.86
Ru  0.5000  0.5000  0.2929  1 C 1.86
Ru  0.5000  0.5000  0.7071  1 C 1.86
C  0.0000  0.0000  0.5000  2 Ru 1.86
C  0.5000  0.5000  0.0000  2 Ru 1.86

Results
**E above lowest polymorph**: 810 meV/atom
**Energy of formation from the pure elements**: 1120 meV/atom



No. 2
Material: RuC2
Method: DFT, PBE-GGA
State: relaxed

Cell lengths 3.5277, 3.5277, 10.8074 Å; angles 90.00, 90.00, 120.00 degrees
With the nearest neighbours (Å) after each atom.
Element x y z (fractional)
Ru  0.3333  0.6667  0.0936  6 C 2.07-2.27
Ru  0.3333  0.6667  0.4064  6 C 2.07-2.27
Ru  0.6667  0.3333  0.5936  6 C 2.07-2.27
Ru  0.6667  0.3333  0.9064  6 C 2.07-2.27
C  0.0000  0.0000  0.0000  6 Ru 2.27
C  0.0000  0.0000  0.5000  6 Ru 2.27
C  0.1387  0.2774  0.2500  2 C 1.47
C  0.1387  0.8613  0.2500  2 C 1.47
C  0.2774  0.1387  0.7500  2 C 1.47
C  0.7226  0.8613  0.2500  2 C 1.47
C  0.8613  0.1387  0.7500  2 C 1.47
C  0.8613  0.7226  0.7500  2 C 1.47

Results
**E above lowest polymorph**: 860 meV/atom
**Energy of formation from the pure elements**: 1444 meV/atom